[1]
Density functional theory data (GGA-PBE) for Pr2Np2Pt15 after structural relaxation.

CIF file:
```
data_Pr2Np2Pt15
_cell_length_a 9.3496
_cell_length_b 9.3496
_cell_length_c 13.8356
_cell_angle_alpha 90.00
_cell_angle_beta 90.00
_cell_angle_gamma 120.00
_space_group_name_H-M_alt 'R -3 m'
_space_group_IT_number 166
_space_group_name_Hall '-R 3 2"'
loop_
_atom_site_label
_atom_site_type_symbol
_atom_site_fract_x
_atom_site_fract_y
_atom_site_fract_z
_atom_site_occupancy
Pr1 Pr 0.0000 0.0000 0.1477 1
Np1 Np 0.0000 0.0000 0.4169 1
Pt1 Pt 0.0000 0.3179 0.5000 1
Pt2 Pt 0.0000 0.5000 0.0000 1
Pt3 Pt 0.9998 0.4999 0.3405 1
```

Computed properties:
Density of states at the Fermi level ... 69.6 states/eV/cell
DFT formation energy ... -0.601 eV/atom


[2]
Density functional theory data (GGA-PBE) for PrNp2Pt9 after structural relaxation.

CIF file:
```
data_PrNp2Pt9
_cell_length_a 5.4195
_cell_length_b 5.4195
_cell_length_c 26.7122
_cell_angle_alpha 90.00
_cell_angle_beta 90.00
_cell_angle_gamma 120.00
_space_group_name_H-M_alt 'R -3 m'
_space_group_IT_number 166
_space_group_name_Hall '-R 3 2"'
loop_
_atom_site_label
_atom_site_type_symbol
_atom_site_fract_x
_atom_site_fract_y
_atom_site_fract_z
_atom_site_occupancy
Pr1 Pr 0.0000 0.0000 0.0000 1
Np1 Np 0.0000 0.0000 0.1430 1
Pt1 Pt 0.0000 0.0000 0.3328 1
Pt2 Pt 0.0000 0.0000 0.5000 1
Pt3 Pt 0.0038 0.5019 0.9144 1
```

Computed properties:
Density of states at the Fermi level ... 68.3 states/eV/cell
DFT formation energy ... -0.690 eV/atom


[3]
Density functional theory data (GGA-PBE) for Pr2NpSi3Pt12 after structural relaxation.

CIF file:
```
data_Pr2NpSi3Pt12
_cell_length_a 8.2363
_cell_length_b 8.2363
_cell_length_c 18.8970
_cell_angle_alpha 90.00
_cell_angle_beta 90.00
_cell_angle_gamma 120.00
_space_group_name_H-M_alt 'R -3 m'
_space_group_IT_number 166
_space_group_name_Hall '-R 3 2"'
loop_
_atom_site_label
_atom_site_type_symbol
_atom_site_fract_x
_atom_site_fract_y
_atom_site_fract_z
_atom_site_occupancy
Pr1 Pr 0.0000 0.0000 0.1003 1
Np1 Np 0.0000 0.0000 0.5000 1
Si1 Si 0.0000 0.5000 0.0000 1
Pt1 Pt 0.0233 0.5117 0.8736 1
Pt2 Pt 0.0347 0.5173 0.3666 1
```

Computed properties:
Density of states at the Fermi level ... 43.8 states/eV/cell
Formation energy from raw total energies ... -46.5 kJ per mole of atoms


[4]
Density functional theory data (GGA-PBE) for Pr2NpSi4Pt3 after structural relaxation.

CIF file:
```
data_Pr2NpSi4Pt3
_cell_length_a 4.279
_cell_length_b 4.279
_cell_length_c 10.923
_cell_angle_alpha 90.00
_cell_angle_beta 90.00
_cell_angle_gamma 90.00
_space_group_name_H-M_alt 'P -4 m 2'
_space_group_IT_number 115
_space_group_name_Hall 'P -4 -2'
loop_
_atom_site_label
_atom_site_type_symbol
_atom_site_fract_x
_atom_site_fract_y
_atom_site_fract_z
_atom_site_occupancy
Pr1 Pr 0.000 0.500 0.232 1
Np1 Np 0.000 0.000 0.500 1
Si1 Si 0.000 0.000 0.000 1
Si2 Si 0.000 0.500 0.670 1
Si3 Si 0.500 0.500 0.000 1
Pt1 Pt 0.000 0.500 0.892 1
Pt2 Pt 0.500 0.500 0.500 1
```

Computed properties:
Density of states at the Fermi level ... 10.0 states/eV/cell
Formation energy from raw total energies ... -76.4 kJ per mole of atoms


[5]
Density functional theory data (GGA-PBE) for PrPu2NpS4 after structural relaxation.

CIF file:
```
data_PrPu2NpS4
_cell_length_a 6.867
_cell_length_b 3.962
_cell_length_c 6.944
_cell_angle_alpha 90.00
_cell_angle_beta 109.30
_cell_angle_gamma 90.00
_space_group_name_H-M_alt 'P 1 2/m 1'
_space_group_IT_number 10
_space_group_name_Hall '-P 2y'
loop_
_atom_site_label
_atom_site_type_symbol
_atom_site_fract_x
_atom_site_fract_y
_atom_site_fract_z
_atom_site_occupancy
Pr1 Pr 0.000 0.000 0.000 1
Pu1 Pu 0.000 0.500 0.500 1
Pu2 Pu 0.500 0.000 0.500 1
Np1 Np 0.500 0.500 0.000 1
S1 S 0.256 0.000 0.747 1
S2 S 0.259 0.500 0.259 1
```

Computed properties:
Density of states at the Fermi level ... 24.0 states/eV/cell
Formation energy from raw total energies ... -164.7 kJ per mole of atoms


[6]
Density functional theory data (GGA-PBE) for PrPuNp2S4 after structural relaxation.

CIF file:
```
data_PrPuNp2S4
_cell_length_a 6.855
_cell_length_b 3.955
_cell_length_c 6.904
_cell_angle_alpha 90.00
_cell_angle_beta 109.32
_cell_angle_gamma 90.00
_space_group_name_H-M_alt 'P 1 2/m 1'
_space_group_IT_number 10
_space_group_name_Hall '-P 2y'
loop_
_atom_site_label
_atom_site_type_symbol
_atom_site_fract_x
_atom_site_fract_y
_atom_site_fract_z
_atom_site_occupancy
Pr1 Pr 0.000 0.000 0.000 1
Pu1 Pu 0.500 0.500 0.000 1
Np1 Np 0.000 0.500 0.500 1
Np2 Np 0.500 0.000 0.500 1
S1 S 0.253 0.000 0.743 1
S2 S 0.259 0.500 0.263 1
```

Computed properties:
Density of states at the Fermi level ... 24.6 states/eV/cell
Formation energy from raw total energies ... -155.7 kJ per mole of atoms


[7]
Density functional theory data (GGA-PBE) for RbPr2NpS5 after structural relaxation.

CIF file:
```
data_RbPr2NpS5
_cell_length_a 5.048
_cell_length_b 7.281
_cell_length_c 14.146
_cell_angle_alpha 90.00
_cell_angle_beta 90.00
_cell_angle_gamma 90.00
_space_group_name_H-M_alt 'I m m m'
_space_group_IT_number 71
_space_group_name_Hall '-I 2 2'
loop_
_atom_site_label
_atom_site_type_symbol
_atom_site_fract_x
_atom_site_fract_y
_atom_site_fract_z
_atom_site_occupancy
Rb1 Rb 0.000 0.000 0.000 1
Pr1 Pr 0.000 0.500 0.207 1
Np1 Np 0.000 0.000 0.500 1
S1 S 0.000 0.233 0.348 1
S2 S 0.000 0.500 0.000 1
```

Computed properties:
Density of states at the Fermi level ... 20.3 states/eV/cell
Formation energy from raw total energies ... -160.9 kJ per mole of atoms


[8]
Density functional theory data (GGA-PBE) for Rb4PrNp3S8 after structural relaxation.

CIF file:
```
data_Rb4PrNp3S8
_cell_length_a 8.3241
_cell_length_b 8.3241
_cell_length_c 23.0534
_cell_angle_alpha 90.00
_cell_angle_beta 90.00
_cell_angle_gamma 120.00
_space_group_name_H-M_alt 'R -3 m'
_space_group_IT_number 166
_space_group_name_Hall '-R 3 2"'
loop_
_atom_site_label
_atom_site_type_symbol
_atom_site_fract_x
_atom_site_fract_y
_atom_site_fract_z
_atom_site_occupancy
Rb1 Rb 0.0000 0.0000 0.0000 1
Rb2 Rb 0.0000 0.5000 0.0000 1
Pr1 Pr 0.0000 0.0000 0.5000 1
Np1 Np 0.0000 0.5000 0.5000 1
S1 S 0.0000 0.0000 0.2290 1
S2 S 0.0080 0.5040 0.7685 1
```

Computed properties:
Density of states at the Fermi level ... 77.8 states/eV/cell
Formation energy from raw total energies ... -141.9 kJ per mole of atoms


[9]
Density functional theory data (GGA-PBE) for Rb3Pr2NpS6 after structural relaxation.

CIF file:
```
data_Rb3Pr2NpS6
_cell_length_a 7.317
_cell_length_b 12.673
_cell_length_c 8.085
_cell_angle_alpha 90.00
_cell_angle_beta 107.54
_cell_angle_gamma 90.00
_space_group_name_H-M_alt 'C 1 2/m 1'
_space_group_IT_number 12
_space_group_name_Hall '-C 2y'
loop_
_atom_site_label
_atom_site_type_symbol
_atom_site_fract_x
_atom_site_fract_y
_atom_site_fract_z
_atom_site_occupancy
Rb1 Rb 0.000 0.000 0.000 1
Rb2 Rb 0.000 0.332 0.000 1
Pr1 Pr 0.000 0.166 0.500 1
Np1 Np 0.000 0.500 0.500 1
S1 S 0.228 0.337 0.696 1
S2 S 0.240 0.000 0.697 1
```

Computed properties:
Density of states at the Fermi level ... 15.6 states/eV/cell
Formation energy from raw total energies ... -159.4 kJ per mole of atoms


[10]
Density functional theory data (GGA-PBE) for Rb3PrNp2S6 after structural relaxation.

CIF file:
```
data_Rb3PrNp2S6
_cell_length_a 7.219
_cell_length_b 12.503
_cell_length_c 8.066
_cell_angle_alpha 90.00
_cell_angle_beta 107.37
_cell_angle_gamma 90.00
_space_group_name_H-M_alt 'C 1 2/m 1'
_space_group_IT_number 12
_space_group_name_Hall '-C 2y'
loop_
_atom_site_label
_atom_site_type_symbol
_atom_site_fract_x
_atom_site_fract_y
_atom_site_fract_z
_atom_site_occupancy
Rb1 Rb 0.000 0.000 0.000 1
Rb2 Rb 0.000 0.335 0.000 1
Pr1 Pr 0.000 0.500 0.500 1
Np1 Np 0.000 0.167 0.500 1
S1 S 0.221 0.000 0.693 1
S2 S 0.236 0.328 0.694 1
```

Computed properties:
Density of states at the Fermi level ... 43.3 states/eV/cell
Formation energy from raw total energies ... -145.2 kJ per mole of atoms


[11]
Density functional theory data (GGA-PBE) for Rb2Pr2NpS6 after structural relaxation.

CIF file:
```
data_Rb2Pr2NpS6
_cell_length_a 7.245
_cell_length_b 12.453
_cell_length_c 8.219
_cell_angle_alpha 90.00
_cell_angle_beta 107.29
_cell_angle_gamma 90.00
_space_group_name_H-M_alt 'C 1 2/m 1'
_space_group_IT_number 12
_space_group_name_Hall '-C 2y'
loop_
_atom_site_label
_atom_site_type_symbol
_atom_site_fract_x
_atom_site_fract_y
_atom_site_fract_z
_atom_site_occupancy
Rb1 Rb 0.000 0.170 0.000 1
Pr1 Pr 0.000 0.334 0.500 1
Np1 Np 0.000 0.000 0.500 1
S1 S 0.221 0.160 0.689 1
S2 S 0.249 0.000 0.312 1
```

Computed properties:
Density of states at the Fermi level ... 12.4 states/eV/cell
Formation energy from raw total energies ... -161.2 kJ per mole of atoms


[12]
Density functional theory data (GGA-PBE) for Rb3Pr3NpS8 after structural relaxation.

CIF file:
```
data_Rb3Pr3NpS8
_cell_length_a 8.4010
_cell_length_b 8.4010
_cell_length_c 23.4647
_cell_angle_alpha 90.00
_cell_angle_beta 90.00
_cell_angle_gamma 120.00
_space_group_name_H-M_alt 'R -3 m'
_space_group_IT_number 166
_space_group_name_Hall '-R 3 2"'
loop_
_atom_site_label
_atom_site_type_symbol
_atom_site_fract_x
_atom_site_fract_y
_atom_site_fract_z
_atom_site_occupancy
Rb1 Rb 0.0000 0.5000 0.0000 1
Pr1 Pr 0.0000 0.5000 0.5000 1
Np1 Np 0.0000 0.0000 0.5000 1
S1 S 0.0000 0.0000 0.2326 1
S2 S 0.0170 0.5085 0.2291 1
```

Computed properties:
Density of states at the Fermi level ... 12.1 states/eV/cell
Formation energy from raw total energies ... -165.2 kJ per mole of atoms


- Which of these has the lowest density of states at the Fermi level?
  Pr2NpSi4Pt3


- What is the density of states at the Fermi level in the fourth record?
  10.0 states/eV/cell


- Number 2 is which compound?
  PrNp2Pt9


- The highest density of states at the Fermi level belongs to which entry?
  Rb4PrNp3S8